No. 1
# NbTeS, optimized geometry, DFT GGA-PBE
data_NbTeS
_chemical_formula_sum 'Nb4 Te4 S4'
_cell_length_a 14.179
_cell_length_b 3.554
_cell_length_c 6.348
_cell_angle_alpha 90.00
_cell_angle_beta 90.00
_cell_angle_gamma 90.00
_symmetry_space_group_name_H-M 'P n m a'
_symmetry_Int_Tables_number 62
_symmetry_space_group_name_Hall '-P 2ac 2n'
loop_
_atom_site_label
_atom_site_type_symbol
_atom_site_fract_x
_atom_site_fract_y
_atom_site_fract_z
_atom_site_occupancy
Nb1 Nb 0.217 0.250 0.077 1
Te1 Te 0.111 0.750 0.329 1
S1 S 0.156 0.750 0.840 1
# V, Å³/atom: 26.66
# Uncorrected energy, eV/atom: -6.39
# Total magnetization, μB per formula unit: 0.14
# Fermi-level density of states, states/eV/f.u.: 2.6
# Energy relative to the lowest polymorph listed for this composition, meV/atom: 90.8
# Formation energy (no corrections), eV/atom: -0.6062


No. 2
# Ca2SiGe, optimized geometry, DFT GGA-PBE
data_Ca2SiGe
_chemical_formula_sum 'Ca4 Si2 Ge2'
_cell_length_a 5.851
_cell_length_b 3.970
_cell_length_c 8.706
_cell_angle_alpha 90.00
_cell_angle_beta 105.30
_cell_angle_gamma 90.00
_symmetry_space_group_name_H-M 'P 1 21/m 1'
_symmetry_Int_Tables_number 11
_symmetry_space_group_name_Hall '-P 2yb'
loop_
_atom_site_label
_atom_site_type_symbol
_atom_site_fract_x
_atom_site_fract_y
_atom_site_fract_z
_atom_site_occupancy
Ca1 Ca 0.204 0.250 0.430 1
Ca2 Ca 0.290 0.750 0.067 1
Si1 Si 0.143 0.250 0.786 1
Ge1 Ge 0.361 0.750 0.713 1
# V, Å³/atom: 24.39
# Uncorrected energy, eV/atom: -4.11
# Total magnetization, μB per formula unit: 0.00
# Fermi-level density of states, states/eV/f.u.: 1.5
# Energy relative to the lowest polymorph listed for this composition, meV/atom: 0.0
# Formation energy (no corrections), eV/atom: -0.5957


No. 3
# ThMgOs, optimized geometry, DFT GGA-PBE
data_ThMgOs
_chemical_formula_sum 'Th6 Mg6 Os6'
_cell_length_a 7.383
_cell_length_b 4.103
_cell_length_c 12.910
_cell_angle_alpha 90.00
_cell_angle_beta 90.17
_cell_angle_gamma 90.00
_symmetry_space_group_name_H-M 'P 1 21/m 1'
_symmetry_Int_Tables_number 11
_symmetry_space_group_name_Hall '-P 2yb'
loop_
_atom_site_label
_atom_site_type_symbol
_atom_site_fract_x
_atom_site_fract_y
_atom_site_fract_z
_atom_site_occupancy
Th1 Th 0.041 0.250 0.376 1
Th2 Th 0.160 0.250 0.083 1
Th3 Th 0.454 0.750 0.714 1
Mg1 Mg 0.128 0.250 0.802 1
Mg2 Mg 0.367 0.750 0.463 1
Mg3 Mg 0.492 0.250 0.917 1
Os1 Os 0.240 0.750 0.926 1
Os2 Os 0.242 0.250 0.592 1
Os3 Os 0.258 0.750 0.251 1
# V, Å³/atom: 21.72
# Uncorrected energy, eV/atom: -7.01
# Total magnetization, μB per formula unit: 0.00
# Formation energy, eV per atom: -0.26
# Fermi-level density of states, states/eV/f.u.: 1.5


No. 4
# Cr2Co2Pt, optimized geometry, DFT GGA-PBE
data_Cr2Co2Pt
_chemical_formula_sum 'Cr4 Co4 Pt2'
_cell_length_a 6.770
_cell_length_b 6.770
_cell_length_c 2.609
_cell_angle_alpha 90.00
_cell_angle_beta 90.00
_cell_angle_gamma 90.00
_symmetry_space_group_name_H-M 'P 4/m b m'
_symmetry_Int_Tables_number 127
_symmetry_space_group_name_Hall '-P 4 2ab'
loop_
_atom_site_label
_atom_site_type_symbol
_atom_site_fract_x
_atom_site_fract_y
_atom_site_fract_z
_atom_site_occupancy
Cr1 Cr 0.171 0.329 0.000 1
Co1 Co 0.125 0.625 0.500 1
Pt1 Pt 0.000 0.000 0.500 1
# V, Å³/atom: 11.96
# Uncorrected energy, eV/atom: -7.89
# Total magnetization, μB per formula unit: 0.74
# Formation energy, eV per atom: 0.01
# Fermi-level density of states, states/eV/f.u.: 6.0
# Energy relative to the lowest polymorph listed for this composition, meV/atom: 0.0


No. 5
# MgCuSe5, optimized geometry, DFT GGA-PBE
data_MgCuSe5
_chemical_formula_sum 'Mg1 Cu1 Se5'
_cell_length_a 3.815
_cell_length_b 3.815
_cell_length_c 11.769
_cell_angle_alpha 90.00
_cell_angle_beta 90.00
_cell_angle_gamma 90.00
_symmetry_space_group_name_H-M 'P 4/m m m'
_symmetry_Int_Tables_number 123
_symmetry_space_group_name_Hall '-P 4 2'
loop_
_atom_site_label
_atom_site_type_symbol
_atom_site_fract_x
_atom_site_fract_y
_atom_site_fract_z
_atom_site_occupancy
Mg1 Mg 0.000 0.000 0.000 1
Cu1 Cu 0.500 0.500 0.500 1
Se1 Se 0.000 0.000 0.500 1
Se2 Se 0.000 0.500 0.175 1
# V, Å³/atom: 24.47
# Uncorrected energy, eV/atom: -3.36
# Total magnetization, μB per formula unit: 0.17
# Fermi-level density of states, states/eV/f.u.: 3.9
# Energy relative to the lowest polymorph listed for this composition, meV/atom: 53.8
# Formation energy (no corrections), eV/atom: -0.0601


No. 6
# Tl2Zn2Ga, optimized geometry, DFT GGA-PBE
data_Tl2Zn2Ga
_chemical_formula_sum 'Tl4 Zn4 Ga2'
_cell_length_a 6.821
_cell_length_b 6.821
_cell_length_c 4.984
_cell_angle_alpha 90.00
_cell_angle_beta 90.00
_cell_angle_gamma 90.00
_symmetry_space_group_name_H-M 'P 4/m b m'
_symmetry_Int_Tables_number 127
_symmetry_space_group_name_Hall '-P 4 2ab'
loop_
_atom_site_label
_atom_site_type_symbol
_atom_site_fract_x
_atom_site_fract_y
_atom_site_fract_z
_atom_site_occupancy
Tl1 Tl 0.180 0.320 0.000 1
Zn1 Zn 0.134 0.634 0.500 1
Ga1 Ga 0.000 0.000 0.500 1
# V, Å³/atom: 23.19
# Uncorrected energy, eV/atom: -1.94
# Total magnetization, μB per formula unit: 0.00
# Formation energy, eV per atom: 0.12
# Fermi-level density of states, states/eV/f.u.: 2.4
# Energy relative to the lowest polymorph listed for this composition, meV/atom: 0.0


No. 7
# KHfPtO2, optimized geometry, DFT GGA-PBE
data_KHfPtO2
_chemical_formula_sum 'K1 Hf1 Pt1 O2'
_cell_length_a 4.167
_cell_length_b 4.167
_cell_length_c 5.366
_cell_angle_alpha 90.00
_cell_angle_beta 90.00
_cell_angle_gamma 90.00
_symmetry_space_group_name_H-M 'P 4/m m m'
_symmetry_Int_Tables_number 123
_symmetry_space_group_name_Hall '-P 4 2'
loop_
_atom_site_label
_atom_site_type_symbol
_atom_site_fract_x
_atom_site_fract_y
_atom_site_fract_z
_atom_site_occupancy
K1 K 0.000 0.000 0.000 1
Hf1 Hf 0.500 0.500 0.500 1
Pt1 Pt 0.500 0.500 0.000 1
O1 O 0.000 0.500 0.500 1
# V, Å³/atom: 18.63
# Uncorrected energy, eV/atom: -6.81
# Total magnetization, μB per formula unit: 0.24
# Fermi-level density of states, states/eV/f.u.: 3.5
# Formation energy (no corrections), eV/atom: -1.4096


No. 8
# Na2AcRe3O12, optimized geometry, DFT GGA-PBE
data_Na2AcRe3O12
_chemical_formula_sum 'Na6 Ac3 Re9 O36'
_cell_length_a 7.4691
_cell_length_b 7.4691
_cell_length_c 16.3228
_cell_angle_alpha 90.00
_cell_angle_beta 90.00
_cell_angle_gamma 120.00
_symmetry_space_group_name_H-M 'R -3 m'
_symmetry_Int_Tables_number 166
_symmetry_space_group_name_Hall '-R 3 2"'
loop_
_atom_site_label
_atom_site_type_symbol
_atom_site_fract_x
_atom_site_fract_y
_atom_site_fract_z
_atom_site_occupancy
Na1 Na 0.0000 0.0000 0.1344 1
Ac1 Ac 0.0000 0.0000 0.5000 1
Re1 Re 0.0000 0.5000 0.0000 1
O1 O 0.0537 0.5269 0.8899 1
O2 O 0.0901 0.5451 0.3120 1
# V, Å³/atom: 14.60
# Uncorrected energy, eV/atom: -7.61
# Total magnetization, μB per formula unit: 0.65
# Fermi-level density of states, states/eV/f.u.: 6.3
# Formation energy (no corrections), eV/atom: -1.8577


No. 9
# K2CoP, optimized geometry, DFT GGA-PBE
data_K2CoP
_chemical_formula_sum 'K4 Co2 P2'
_cell_length_a 4.175
_cell_length_b 5.778
_cell_length_c 9.794
_cell_angle_alpha 90.00
_cell_angle_beta 90.00
_cell_angle_gamma 90.00
_symmetry_space_group_name_H-M 'I m m 2'
_symmetry_Int_Tables_number 44
_symmetry_space_group_name_Hall 'I 2 -2'
loop_
_atom_site_label
_atom_site_type_symbol
_atom_site_fract_x
_atom_site_fract_y
_atom_site_fract_z
_atom_site_occupancy
K1 K 0.000 0.000 0.000 1
K2 K 0.000 0.500 0.180 1
Co1 Co 0.000 0.000 0.345 1
P1 P 0.000 0.500 0.831 1
# V, Å³/atom: 29.54
# Uncorrected energy, eV/atom: -3.73
# Total magnetization, μB per formula unit: 0.83
# Formation energy, eV per atom: -0.05
# Fermi-level density of states, states/eV/f.u.: 4.8


No. 10
# Li3Sm2NpSe6, optimized geometry, DFT GGA-PBE
data_Li3Sm2NpSe6
_chemical_formula_sum 'Li6 Sm4 Np2 Se12'
_cell_length_a 7.181
_cell_length_b 12.435
_cell_length_c 6.939
_cell_angle_alpha 90.00
_cell_angle_beta 110.19
_cell_angle_gamma 90.00
_symmetry_space_group_name_H-M 'C 1 2/m 1'
_symmetry_Int_Tables_number 12
_symmetry_space_group_name_Hall '-C 2y'
loop_
_atom_site_label
_atom_site_type_symbol
_atom_site_fract_x
_atom_site_fract_y
_atom_site_fract_z
_atom_site_occupancy
Li1 Li 0.000 0.000 0.000 1
Li2 Li 0.000 0.334 0.000 1
Sm1 Sm 0.000 0.167 0.500 1
Np1 Np 0.000 0.500 0.500 1
Se1 Se 0.245 0.500 0.243 1
Se2 Se 0.248 0.165 0.242 1
# V, Å³/atom: 24.23
# Uncorrected energy, eV/atom: -5.59
# Total magnetization, μB per formula unit: 4.00
# Fermi-level density of states, states/eV/f.u.: 9.8
# Formation energy (no corrections), eV/atom: -1.5020